The following is a GGA+U calculation of a geometry-optimized TlV2SnO8 structure, from Alexandria via LeMat-Bulk.

```
data_TlV2SnO8
_cell_length_a 5.6225
_cell_length_b 5.6225
_cell_length_c 7.8645
_cell_angle_alpha 90.00
_cell_angle_beta 90.00
_cell_angle_gamma 120.00
_symmetry_space_group_name_H-M 'P -3'
_symmetry_Int_Tables_number 147
_symmetry_space_group_name_Hall '-P 3'
loop_
_atom_site_label
_atom_site_type_symbol
_atom_site_fract_x
_atom_site_fract_y
_atom_site_fract_z
_atom_site_occupancy
Tl1 Tl 0.0000 0.0000 0.0000 1
V1 V 0.3333 0.6667 0.7250 1
Sn1 Sn 0.0000 0.0000 0.5000 1
O1 O 0.1043 0.3295 0.6578 1
O2 O 0.3333 0.6667 0.9390 1
```

Values from the calculation:
Electronic total energy (eV per formula unit): -79.00
Fermi-level density of states (states/eV per atom): 0.64